Here is an optimized crystal structure of AcNp2Pt9 from the Alexandria database. Energies are from GGA-PBE.

Cell lengths 5.4627, 5.4627, 26.7340 Å; angles 90.00, 90.00, 120.00 degrees
Last column: nearest neighbours and their distance in Å.
Space group R-3m (No. 166, hexagonal axes)
One atom of each set of equivalent atoms:
Ac 0.0000 0.0000 0.0000 [3 per cell]  6 Pt 3.15
Np 0.0000 0.0000 0.1440 [6 per cell]  12 Pt 3.14-3.21, 3 Np 3.38
Pt 0.0000 0.0000 0.3326 [6 per cell]  6 Pt 2.76-2.82
Pt 0.0000 0.0000 0.5000 [3 per cell]  6 Pt 2.68
Pt 0.0041 0.5021 0.9139 [18 per cell]  7 Pt 2.68-2.82

Computed properties:
total DFT energy (no corrections): -7.7350 eV per atom
ΔH_f (0 K): -8.46 eV/f.u.